Compound: Ca7NiIr2O12
Source: the Alexandria database
Functional: PBE with a Hubbard U
Structure: optimized geometry

Lattice parameters (Å, degrees): 6.553 6.553 6.553 90.95 90.95 90.95
Element x y z (fractional)
Ca: 0.000 0.000 0.000
Ca: 0.000 0.636 0.364
Ca: 0.144 0.500 0.856
Ca: 0.364 0.000 0.636
Ca: 0.500 0.856 0.144
Ca: 0.636 0.364 0.000
Ca: 0.856 0.144 0.500
Ni: 0.500 0.500 0.500
Ir: 0.252 0.252 0.252
Ir: 0.748 0.748 0.748
O: 0.046 0.823 0.694
O: 0.177 0.954 0.306
O: 0.211 0.334 0.548
O: 0.306 0.177 0.954
O: 0.334 0.548 0.211
O: 0.452 0.666 0.789
O: 0.548 0.211 0.334
O: 0.666 0.789 0.452
O: 0.694 0.046 0.823
O: 0.789 0.452 0.666
O: 0.823 0.694 0.046
O: 0.954 0.306 0.177

Uncorrected energy (eV per atom): -6.425
DOS at the Fermi energy (states/eV per atom): 0.54
Calculated volume (A^3/atom): 12.8